# 1
# Dy4YTm6

A relaxed Dy4YTm6 crystal (PBE, Alexandria).

**Energy**: -4.234 eV/atom
**Mass density**: 7.8 Mg/m³
**Magnetic moment**: 0.0 Bohr magnetons per cell
**Relative energy among the computed polymorphs**: 0.341 eV/atom
**Energy of formation**: 0.4663 eV per atom

Structure (POSCAR):
```
Dy4YTm6
1.0
-3.8058 3.8058 6.4253
3.8058 -3.8058 6.4253
3.8058 3.8058 -6.4253
Dy Y Tm
4 1 6
direct
0.2554 0.2554 0.6620
0.4066 0.7446 0.0000
0.5934 0.5934 0.3380
0.7446 0.4066 0.0000
0.0000 0.0000 0.0000
0.0000 0.5000 0.5000
0.0649 0.5680 0.0000
0.4320 0.4320 0.4969
0.5000 0.0000 0.5000
0.5680 0.0649 0.0000
0.9351 0.9351 0.5031
```


# 2
# DyY12Tm7

A relaxed DyY12Tm7 crystal (PBE, Alexandria).

**Energy**: -5.381 eV/atom
**Mass density**: 6.2 Mg/m³
**Magnetic moment**: 0.0 Bohr magnetons per cell
**Relative energy among the computed polymorphs**: 0.000 eV/atom
**Energy of formation**: 0.2923 eV per atom

Structure (POSCAR):
```
DyY12Tm7
1.0
6.3928 3.6909 4.5307
-6.3928 3.6909 4.5307
0.0000 -7.3818 4.5307
Dy Y Tm
1 12 7
direct
0.0000 0.0000 0.0000
0.1487 0.4789 0.4165
0.1845 0.3115 0.7511
0.2489 0.8155 0.6885
0.3115 0.7511 0.1845
0.4165 0.1487 0.4789
0.4789 0.4165 0.1487
0.5211 0.5835 0.8513
0.5835 0.8513 0.5211
0.6885 0.2489 0.8155
0.7511 0.1845 0.3115
0.8155 0.6885 0.2489
0.8513 0.5211 0.5835
0.0220 0.3520 0.0836
0.0836 0.0220 0.3520
0.3520 0.0836 0.0220
0.5000 0.5000 0.5000
0.6480 0.9164 0.9780
0.9164 0.9780 0.6480
0.9780 0.6480 0.9164
```


Question: Which value of mass density does entry 1 give?
Answer: 7.8 Mg/m³


Question: Among the records above, which one has the lowest energy?
Answer: DyY12Tm7


Question: The highest energy of formation belongs to which entry?
Answer: Dy4YTm6